1.
GdIn2Sn | PBE | relaxed

Unit cell a=4.5916 b=4.5916 c=4.8437 alpha=90.00 beta=90.00 gamma=90.00
Element x y z (fractional)
Gd1 0.0000 0.0000 0.0000
In1 0.0000 0.5000 0.5000
In2 0.5000 0.0000 0.5000
Sn1 0.5000 0.5000 0.0000

- Uncorrected energy: -15.95 eV per formula unit
- Crystal system: tetragonal
- SG: P4/mmm, No. 123

---

2.
Gd2InSn | PBE | relaxed

Unit cell a=4.3201 b=4.5906 c=11.5236 alpha=90.00 beta=90.00 gamma=90.00
Element x y z (fractional)
Gd1 0.0000 0.0000 0.0000
Gd2 0.0000 0.5000 0.5000
Gd3 0.5000 0.0000 0.2752
Gd4 0.5000 0.5000 0.7752
In1 0.5000 0.0000 0.5501
In2 0.5000 0.5000 0.0501
Sn1 0.0000 0.0000 0.7243
Sn2 0.0000 0.5000 0.2243

- Uncorrected energy: -18.55 eV per formula unit
- Crystal system: orthorhombic
- SG: Amm2, No. 38

---

3.
GdInSn2 | PBE | relaxed

Unit cell a=4.7144 b=4.7144 c=4.6514 alpha=90.00 beta=90.00 gamma=90.00
Element x y z (fractional)
Gd1 0.0000 0.0000 0.0000
In1 0.5000 0.5000 0.0000
Sn1 0.0000 0.5000 0.5000
Sn2 0.5000 0.0000 0.5000

- Uncorrected energy: -17.25 eV per formula unit
- Crystal system: tetragonal
- SG: P4/mmm, No. 123

---

4.
GdInSnTe3 | PBE | relaxed

Unit cell a=7.9296 b=7.9296 c=12.4245 alpha=90.00 beta=90.00 gamma=148.10
Element x y z (fractional)
Gd1 0.0000 0.0000 0.0000
Gd2 0.0000 0.0000 0.5000
In1 0.3050 0.6950 0.7500
In2 0.6950 0.3050 0.2500
Sn1 0.3745 0.6255 0.2500
Sn2 0.6255 0.3745 0.7500
Te1 0.0187 0.9813 0.2500
Te2 0.3573 0.6427 0.0014
Te3 0.3573 0.6427 0.4986
Te4 0.6427 0.3573 0.5014
Te5 0.6427 0.3573 0.9986
Te6 0.9813 0.0187 0.7500

- Uncorrected energy: -24.53 eV per formula unit
- Crystal system: orthorhombic
- SG: Cmcm, No. 63

---

5.
SrGdIn2 | PBE | relaxed

Unit cell a=5.0091 b=13.4372 c=7.5031 alpha=90.00 beta=90.00 gamma=90.00
Element x y z (fractional)
Sr1 0.0000 0.0652 0.2500
Sr2 0.0000 0.9348 0.7500
Sr3 0.5000 0.4348 0.7500
Sr4 0.5000 0.5652 0.2500
Gd1 0.0000 0.2210 0.7500
Gd2 0.0000 0.7790 0.2500
Gd3 0.5000 0.2790 0.2500
Gd4 0.5000 0.7210 0.7500
In1 0.0000 0.3883 0.0568
In2 0.0000 0.3883 0.4432
In3 0.0000 0.6117 0.5568
In4 0.0000 0.6117 0.9432
In5 0.5000 0.1117 0.5568
In6 0.5000 0.1117 0.9432
In7 0.5000 0.8883 0.0568
In8 0.5000 0.8883 0.4432

- Uncorrected energy: -13.24 eV per formula unit
- Crystal system: orthorhombic
- SG: Cmcm, No. 63

---

6.
TbGdIn | PBE | relaxed

Unit cell a=7.3769 b=7.3769 c=7.3769 alpha=90.00 beta=90.00 gamma=90.00
Element x y z (fractional)
Tb1 0.0000 0.0000 0.0000
Tb2 0.0000 0.5000 0.5000
Tb3 0.5000 0.0000 0.5000
Tb4 0.5000 0.5000 0.0000
Gd1 0.0000 0.0000 0.5000
Gd2 0.0000 0.5000 0.0000
Gd3 0.5000 0.0000 0.0000
Gd4 0.5000 0.5000 0.5000
In1 0.2500 0.2500 0.7500
In2 0.2500 0.7500 0.2500
In3 0.7500 0.2500 0.2500
In4 0.7500 0.7500 0.7500

- Uncorrected energy: -12.31 eV per formula unit
- Crystal system: cubic
- SG: F-43m, No. 216

---

7.
Tb2Gd2In | PBE | relaxed

Unit cell a=8.2350 b=8.2350 c=4.5753 alpha=90.00 beta=90.00 gamma=90.00
Element x y z (fractional)
Tb1 0.1486 0.3514 0.0000
Tb2 0.3514 0.8514 0.0000
Tb3 0.6486 0.1486 0.0000
Tb4 0.8514 0.6486 0.0000
Gd1 0.1530 0.6530 0.5000
Gd2 0.3470 0.1530 0.5000
Gd3 0.6530 0.8470 0.5000
Gd4 0.8470 0.3470 0.5000
In1 0.0000 0.0000 0.0000
In2 0.5000 0.5000 0.0000

- Uncorrected energy: -21.32 eV per formula unit
- Crystal system: tetragonal
- SG: P4/mbm, No. 127

---

8.
GdZnInTe3 | PBE | relaxed

Unit cell a=15.5175 b=4.3729 c=11.7465 alpha=90.00 beta=90.00 gamma=90.00
Element x y z (fractional)
Gd1 0.0250 0.2500 0.1597
Gd2 0.4750 0.7500 0.6597
Gd3 0.5250 0.2500 0.3403
Gd4 0.9750 0.7500 0.8403
Zn1 0.0172 0.7500 0.3988
Zn2 0.4828 0.2500 0.8988
Zn3 0.5172 0.7500 0.1012
Zn4 0.9828 0.2500 0.6012
In1 0.2400 0.2500 0.4638
In2 0.2600 0.7500 0.9638
In3 0.7400 0.2500 0.0362
In4 0.7600 0.7500 0.5362
Te1 0.0886 0.7500 0.6132
Te2 0.1048 0.2500 0.9205
Te3 0.1492 0.7500 0.2515
Te4 0.3508 0.2500 0.7515
Te5 0.3952 0.7500 0.4205
Te6 0.4114 0.2500 0.1132
Te7 0.5886 0.7500 0.8868
Te8 0.6048 0.2500 0.5795
Te9 0.6492 0.7500 0.2485
Te10 0.8508 0.2500 0.7485
Te11 0.8952 0.7500 0.0795
Te12 0.9114 0.2500 0.3868

- Uncorrected energy: -22.70 eV per formula unit
- Crystal system: orthorhombic
- SG: Pnma, No. 62

---

9.
GdZnInTe3 | PBE | relaxed

Unit cell a=9.0105 b=4.6131 c=17.7352 alpha=90.00 beta=90.00 gamma=90.00
Element x y z (fractional)
Gd1 0.2453 0.2500 0.0450
Gd2 0.2547 0.7500 0.5450
Gd3 0.7453 0.2500 0.4550
Gd4 0.7547 0.7500 0.9550
Zn1 0.1338 0.2500 0.3579
Zn2 0.3662 0.7500 0.8579
Zn3 0.6338 0.2500 0.1421
Zn4 0.8662 0.7500 0.6421
In1 0.0728 0.2500 0.7823
In2 0.4272 0.7500 0.2823
In3 0.5728 0.2500 0.7177
In4 0.9272 0.7500 0.2177
Te1 0.0014 0.2500 0.5895
Te2 0.1231 0.7500 0.9447
Te3 0.1937 0.2500 0.2128
Te4 0.3063 0.7500 0.7128
Te5 0.3769 0.2500 0.4447
Te6 0.4986 0.7500 0.0895
Te7 0.5014 0.2500 0.9105
Te8 0.6231 0.7500 0.5553
Te9 0.6937 0.2500 0.2872
Te10 0.8063 0.7500 0.7872
Te11 0.8769 0.2500 0.0553
Te12 0.9986 0.7500 0.4105

- Uncorrected energy: -22.19 eV per formula unit
- Crystal system: orthorhombic
- SG: Pnma, No. 62

---

10.
GdZnInTe3 | PBE | relaxed

Unit cell a=9.9863 b=9.9863 c=9.2432 alpha=102.34 beta=102.34 gamma=25.17
Element x y z (fractional)
Gd1 0.1709 0.1709 0.0823
Gd2 0.8291 0.8291 0.9177
Zn1 0.4638 0.4638 0.7781
Zn2 0.5362 0.5362 0.2219
In1 0.1312 0.1312 0.5722
In2 0.8688 0.8688 0.4278
Te1 0.0000 0.0000 0.0000
Te2 0.3222 0.3222 0.6767
Te3 0.3321 0.3321 0.1522
Te4 0.5000 0.5000 0.5000
Te5 0.6679 0.6679 0.8478
Te6 0.6778 0.6778 0.3233

- Uncorrected energy: -22.05 eV per formula unit
- Crystal system: monoclinic
- SG: C2/m, No. 12

---

11.
GdZnInTe3 | PBE | relaxed

Unit cell a=8.7779 b=4.3569 c=11.1178 alpha=90.00 beta=108.19 gamma=90.00
Element x y z (fractional)
Gd1 0.1915 0.2500 0.1436
Gd2 0.8085 0.7500 0.8564
Zn1 0.4209 0.7500 0.3893
Zn2 0.5791 0.2500 0.6107
In1 0.2369 0.7500 0.7087
In2 0.7631 0.2500 0.2913
Te1 0.0596 0.2500 0.8523
Te2 0.2680 0.2500 0.4454
Te3 0.4487 0.7500 0.1584
Te4 0.5513 0.2500 0.8416
Te5 0.7320 0.7500 0.5546
Te6 0.9404 0.7500 0.1477

- Uncorrected energy: -22.65 eV per formula unit
- Crystal system: monoclinic
- SG: P2_1/m, No. 11

---

12.
GdZnInTe3 | PBE | relaxed

Unit cell a=7.9502 b=7.9502 c=11.5852 alpha=90.00 beta=90.00 gamma=148.24
Element x y z (fractional)
Gd1 0.0000 0.0000 0.0000
Gd2 0.0000 0.0000 0.5000
Zn1 0.4649 0.5351 0.7500
Zn2 0.5351 0.4649 0.2500
In1 0.2432 0.7568 0.2500
In2 0.7568 0.2432 0.7500
Te1 0.0757 0.9243 0.7500
Te2 0.3623 0.6377 0.5631
Te3 0.3623 0.6377 0.9369
Te4 0.6377 0.3623 0.0631
Te5 0.6377 0.3623 0.4369
Te6 0.9243 0.0757 0.2500

- Uncorrected energy: -22.79 eV per formula unit
- Crystal system: orthorhombic
- SG: Cmcm, No. 63